Entry 1:
# TmTlZn2

TmTlZn2 after structural relaxation (GGA-PBE, Alexandria).

- distance to the lowest polymorph of the same formula (eV/atom) = 0.068
- density of states at the Fermi level (states/eV per cell) = 4.91
- theoretical density (g cm⁻³) = 9.98
- calculated formation energy (eV per formula unit) = -0.457
- E_tot (eV for the cell shown) = -39.4

```
data_TmTlZn2
_chemical_formula_sum 'Tm4 Tl4 Zn8'
_cell_length_a 6.948
_cell_length_b 6.948
_cell_length_c 6.948
_cell_angle_alpha 90.00
_cell_angle_beta 90.00
_cell_angle_gamma 90.00
_symmetry_space_group_name_H-M 'F m -3 m'
_symmetry_Int_Tables_number 225
_symmetry_space_group_name_Hall '-F 4 2 3'
loop_
_atom_site_label
_atom_site_type_symbol
_atom_site_fract_x
_atom_site_fract_y
_atom_site_fract_z
Tm1 Tm 0.000 0.000 0.000
Tl1 Tl 0.000 0.000 0.500
Zn1 Zn 0.250 0.250 0.250
```

---

Entry 2:
# Cs2NaSr

Cs2NaSr after structural relaxation (GGA-PBE, Alexandria).

- distance to the lowest polymorph of the same formula (eV/atom) = 0.084
- density of states at the Fermi level (states/eV per cell) = 16.11
- theoretical density (g cm⁻³) = 2.01
- calculated formation energy (eV per formula unit) = 0.853
- E_tot (eV for the cell shown) = -15.4

```
data_Cs2NaSr
_chemical_formula_sum 'Cs8 Na4 Sr4'
_cell_length_a 11.968
_cell_length_b 11.968
_cell_length_c 8.683
_cell_angle_alpha 90.00
_cell_angle_beta 90.00
_cell_angle_gamma 90.00
_symmetry_space_group_name_H-M 'I -4 2 d'
_symmetry_Int_Tables_number 122
_symmetry_space_group_name_Hall 'I -4 2bw'
loop_
_atom_site_label
_atom_site_type_symbol
_atom_site_fract_x
_atom_site_fract_y
_atom_site_fract_z
Cs1 Cs 0.211 0.250 0.125
Na1 Na 0.000 0.000 0.000
Sr1 Sr 0.000 0.000 0.500
```

---

Entry 3:
# CsLaIn2Ag

CsLaIn2Ag after structural relaxation (GGA-PBE, Alexandria).

- density of states at the Fermi level (states/eV per cell) = 7.19
- theoretical density (g cm⁻³) = 3.89
- calculated formation energy (eV per formula unit) = 3.900
- E_tot (eV for the cell shown) = -10.2

```
data_CsLaIn2Ag
_chemical_formula_sum 'Cs1 La1 In2 Ag1'
_cell_length_a 6.135
_cell_length_b 6.135
_cell_length_c 6.903
_cell_angle_alpha 90.00
_cell_angle_beta 90.00
_cell_angle_gamma 90.00
_symmetry_space_group_name_H-M 'P 4/m m m'
_symmetry_Int_Tables_number 123
_symmetry_space_group_name_Hall '-P 4 2'
loop_
_atom_site_label
_atom_site_type_symbol
_atom_site_fract_x
_atom_site_fract_y
_atom_site_fract_z
Cs1 Cs 0.000 0.000 0.000
La1 La 0.000 0.000 0.500
In1 In 0.000 0.500 0.500
Ag1 Ag 0.500 0.500 0.000
```